DyYCdNi | the Alexandria database | PBE-GGA | optimized geometry; E_form = -0.27 eV/atom; space-group type = F-43m (216); energy = -4.71 eV/atom; total magnetization = 0.0 μB/f.u.; theoretical density = 7.7 Mg/m³
1.0
-1.465 4.839 -0.181
-4.915 1.143 -0.353
-2.406 2.063 3.943
Y Ni Cd Dy
1 1 1 1
Cartesian
-6.590 6.034 2.557
-4.393 4.023 1.705
0.000 0.000 0.000
-2.197 2.011 0.852